Record 1
This record from Alexandria via LeMat-Bulk describes a relaxed structure of BaSrSc3. The functional is PBE-GGA.

Results
SG: No. 221
E_form in meV/atom: 877
VASP energy in eV per atom: -3.643

Cell lengths 5.5705, 5.5705, 5.5705 Å; angles 90.00, 90.00, 90.00 degrees
Closest atoms and distances in Å follow each position.
Fractional coordinates of all 5 atoms:
Sc: 0.0000 0.0000 0.5000  2 Ba 2.79
Sr: 0.5000 0.5000 0.5000  12 Sc 3.94
Ba: 0.0000 0.0000 0.0000  6 Sc 2.79
Sc: 0.5000 0.0000 0.0000  2 Ba 2.79
Sc: 0.0000 0.5000 0.0000  2 Ba 2.79

Record 2
This record from Alexandria via LeMat-Bulk describes a relaxed structure of Ho3Al2Ga7. The functional is PBE-GGA.

Results
SG: No. 65
E_form in meV/atom: -454
VASP energy in eV per atom: -3.988

Cell lengths 4.1327, 4.2071, 13.8623 Å; angles 98.73, 90.00, 90.00 degrees
Closest atoms and distances in Å follow each position.
Fractional coordinates of all 12 atoms:
Ho: 0.5000 0.3190 0.6379  4 Al 3.16, 10 Ga 3.22-3.44
Al: 0.0000 0.8600 0.7200  5 Ga 2.42-2.62
Al: 0.0000 0.1400 0.2800  5 Ga 2.42-2.62
Ho: 0.5000 0.6810 0.3621  4 Al 3.16, 10 Ga 3.22-3.44
Ga: 0.0000 0.2283 0.4567  2 Ga 2.42, 1 Al 2.42
Ga: 0.0000 0.7717 0.5433  2 Ga 2.42, 1 Al 2.42
Ga: 0.5000 0.9181 0.8362  2 Al 2.61
Ga: 0.0000 0.4170 0.8339  2 Al 2.62
Ho: 0.5000 0.5000 0.0000  12 Ga 2.95-3.08
Ga: 0.5000 0.0819 0.1638  2 Al 2.61
Ga: 0.0000 0.5830 0.1661  2 Al 2.62
Ga: 0.0000 0.0000 0.0000  4 Ho 2.95, 8 Ga 3.05-3.10

Record 3
This record from Alexandria via LeMat-Bulk describes a relaxed structure of LaGeWS2. The functional is PBE-GGA.

Results
SG: No. 123
VASP energy in eV per atom: -5.800

Cell lengths 4.8661, 4.7941, 4.8661 Å; angles 90.00, 90.00, 90.00 degrees
Closest atoms and distances in Å follow each position.
Fractional coordinates of all 5 atoms:
La: 0.5000 0.5000 0.5000  8 S 3.42, 4 W 3.44
S: 0.0000 0.0000 0.5000  2 Ge 2.43
S: 0.5000 0.0000 0.0000  2 Ge 2.43
Ge: 0.0000 0.0000 0.0000  2 W 2.40, 4 S 2.43
W: 0.0000 0.5000 0.0000  2 Ge 2.40

Record 4
This record from Alexandria via LeMat-Bulk describes a relaxed structure of Tl5Ag4. The functional is PBE-GGA.

Results
SG: No. 193
E_form in meV/atom: 145
VASP energy in eV per atom: -2.437

Cell lengths 8.8768, 8.8768, 6.5075 Å; angles 90.00, 90.00, 120.00 degrees
Closest atoms and distances in Å follow each position.
Fractional coordinates of all 18 atoms:
Ag: 0.0000 0.0000 0.0000  6 Tl 3.11, 2 Ag 3.25
Tl: 0.7019 0.0000 0.2500  7 Ag 2.97-3.30
Ag: 0.3620 0.3620 0.7500  9 Tl 2.97-3.30
Ag: 0.0000 0.0000 0.5000  6 Tl 3.11, 2 Ag 3.25
Tl: 0.3333 0.6667 0.5000  8 Tl 3.25-3.52, 6 Ag 3.27
Tl: 0.3333 0.6667 0.0000  8 Tl 3.25-3.52, 6 Ag 3.27
Ag: 0.6380 0.6380 0.2500  9 Tl 2.97-3.30
Tl: 0.6667 0.3333 0.0000  8 Tl 3.25-3.52, 6 Ag 3.27
Ag: 0.3620 0.0000 0.2500  9 Tl 2.97-3.30
Ag: 0.6380 0.0000 0.7500  9 Tl 2.97-3.30
Tl: 0.7019 0.7019 0.7500  7 Ag 2.97-3.30
Tl: 0.2981 0.2981 0.2500  7 Ag 2.97-3.30
Tl: 0.6667 0.3333 0.5000  8 Tl 3.25-3.52, 6 Ag 3.27
Tl: 0.0000 0.7019 0.2500  7 Ag 2.97-3.30
Ag: 0.0000 0.6380 0.7500  9 Tl 2.97-3.30
Ag: 0.0000 0.3620 0.2500  9 Tl 2.97-3.30
Tl: 0.2981 0.0000 0.7500  7 Ag 2.97-3.30
Tl: 0.0000 0.2981 0.7500  7 Ag 2.97-3.30

Record 5
This record from Alexandria via LeMat-Bulk describes a relaxed structure of Cd3BIr. The functional is PBE-GGA.

Results
SG: No. 221
E_form in meV/atom: 861
VASP energy in eV per atom: -2.796

Cell lengths 4.4579, 4.4579, 4.4579 Å; angles 90.00, 90.00, 90.00 degrees
Closest atoms and distances in Å follow each position.
Fractional coordinates of all 5 atoms:
B: 0.0000 0.0000 0.0000  6 Cd 2.23
Cd: 0.0000 0.0000 0.5000  2 B 2.23
Ir: 0.5000 0.5000 0.5000  12 Cd 3.15
Cd: 0.5000 0.0000 0.0000  2 B 2.23
Cd: 0.0000 0.5000 0.0000  2 B 2.23

Record 6
This record from Alexandria via LeMat-Bulk describes a relaxed structure of ScZnAu4. The functional is PBE-GGA.

Results
SG: No. 216
E_form in meV/atom: -210
VASP energy in eV per atom: -3.663

Cell lengths 5.4805, 5.4805, 5.4805 Å; angles 60.00, 60.00, 60.00 degrees
Closest atoms and distances in Å follow each position.
Fractional coordinates of all 6 atoms:
Sc: 0.7500 0.7500 0.7500  12 Au 3.21, 4 Zn 3.36
Au: 0.3749 0.3749 0.3749  6 Au 2.74
Au: 0.3749 0.3749 0.8753  6 Au 2.74
Zn: 0.0000 0.0000 0.0000  12 Au 3.21, 4 Sc 3.36
Au: 0.8753 0.3749 0.3749  6 Au 2.74
Au: 0.3749 0.8753 0.3749  6 Au 2.74

Record 7
This record from Alexandria via LeMat-Bulk describes a relaxed structure of Rb2LiAu2F6. The functional is PBE-GGA.

Results
SG: No. 12
VASP energy in eV per atom: -3.742

Cell lengths 5.5292, 7.5546, 6.5950 Å; angles 118.52, 90.00, 111.47 degrees
Closest atoms and distances in Å follow each position.
Fractional coordinates of all 11 atoms:
Au: 0.9698 0.9395 0.7482  3 F 2.07-2.18
F: 0.3414 0.1749 0.7427  1 Li 1.98, 1 Au 2.18
Au: 0.0302 0.0605 0.2518  3 F 2.07-2.18
F: 0.8119 0.6239 0.6973  1 Au 2.07
Li: 0.5000 0.0000 0.5000  4 F 1.98
F: 0.1665 0.8251 0.2573  1 Li 1.98, 1 Au 2.18
Rb: 0.2810 0.5620 0.8191  7 F 2.85-2.97
Rb: 0.7190 0.4380 0.1809  7 F 2.85-2.97
F: 0.1881 0.3761 0.3027  1 Au 2.07
F: 0.8335 0.1749 0.7427  1 Li 1.98, 1 Au 2.18
F: 0.6586 0.8251 0.2573  1 Li 1.98, 1 Au 2.18

Record 8
This record from Alexandria via LeMat-Bulk describes a relaxed structure of Cu2AgBr2Cl. The functional is PBE-GGA.

Results
SG: No. 36
VASP energy in eV per atom: -3.016

Cell lengths 6.7501, 7.1411, 7.0846 Å; angles 120.26, 90.00, 90.00 degrees
Closest atoms and distances in Å follow each position.
Fractional coordinates of all 12 atoms:
Br: 0.1674 0.8335 0.3567  3 Cu 2.47-2.49, 1 Ag 2.72
Cu: 0.3000 0.4985 0.3282  1 Cl 2.34, 3 Br 2.47-2.49
Cu: 0.3000 0.1703 0.6718  1 Cl 2.34, 3 Br 2.47-2.49
Br: 0.6674 0.5232 0.3567  3 Cu 2.47-2.49, 1 Ag 2.72
Cu: 0.8000 0.5015 0.6718  1 Cl 2.34, 3 Br 2.47-2.49
Br: 0.1674 0.4768 0.6433  3 Cu 2.47-2.49, 1 Ag 2.72
Cu: 0.8000 0.8297 0.3282  1 Cl 2.34, 3 Br 2.47-2.49
Ag: 0.3241 0.8290 0.0000  2 Cl 2.64-2.67, 2 Br 2.72
Cl: 0.7144 0.8123 0.0000  2 Cu 2.34
Cl: 0.2144 0.1877 0.0000  2 Cu 2.34
Ag: 0.8241 0.1710 0.0000  2 Cl 2.64-2.67, 2 Br 2.72
Br: 0.6674 0.1665 0.6433  3 Cu 2.47-2.49, 1 Ag 2.72

Record 9
This record from Alexandria via LeMat-Bulk describes a relaxed structure of Ba2GaCl. The functional is PBE-GGA.

Results
SG: No. 225
VASP energy in eV per atom: -3.021

Cell lengths 5.8512, 5.8512, 5.8512 Å; angles 60.00, 60.00, 60.00 degrees
Closest atoms and distances in Å follow each position.
Fractional coordinates of all 4 atoms:
Cl: 0.0000 0.0000 0.0000  8 Ba 3.58
Ba: 0.7500 0.7500 0.7500  4 Cl 3.58, 4 Ga 3.58
Ba: 0.2500 0.2500 0.2500  4 Cl 3.58, 4 Ga 3.58
Ga: 0.5000 0.5000 0.5000  8 Ba 3.58

Record 10
This record from Alexandria via LeMat-Bulk describes a relaxed structure of LaSO6. The functional is PBE-GGA.

Results
SG: No. 166
VASP energy in eV per atom: -6.109

Cell lengths 4.5177, 4.5177, 4.5189 Å; angles 81.90, 81.90, 98.09 degrees
Closest atoms and distances in Å follow each position.
Fractional coordinates of all 8 atoms:
La: 0.5000 0.5000 0.5000  12 O 2.63-2.68
O: 0.0743 0.7414 0.2585  1 S 1.64
O: 0.2585 0.2585 0.0745  1 S 1.64
O: 0.2586 0.9257 0.7415  1 S 1.64
S: 0.0000 0.0000 0.0000  6 O 1.64
O: 0.9257 0.2586 0.7415  1 S 1.64
O: 0.7414 0.0743 0.2585  1 S 1.64
O: 0.7415 0.7415 0.9255  1 S 1.64

Record 11
This record from Alexandria via LeMat-Bulk describes a relaxed structure of Tb5Al2Te2. The functional is PBE-GGA.

Results
SG: No. 64
VASP energy in eV per atom: -4.915

Cell lengths 7.9731, 7.9937, 8.7378 Å; angles 90.00, 62.86, 90.00 degrees
Closest atoms and distances in Å follow each position.
Fractional coordinates of all 18 atoms:
Tb: 0.3008 0.6688 0.7378  3 Al 3.11-3.12, 3 Te 3.17-3.19
Tb: 0.1992 0.1688 0.2622  3 Al 3.11-3.12, 3 Te 3.17-3.19
Tb: 0.5000 0.5000 0.0000  4 Al 3.16-3.19, 2 Te 3.18
Tb: 0.4614 0.1688 0.7378  3 Al 3.11-3.12, 3 Te 3.17-3.19
Al: 0.3776 0.8794 0.0000  1 Al 2.74
Al: 0.1224 0.3794 0.0000  1 Al 2.74
Al: 0.8776 0.6206 0.0000  1 Al 2.74
Te: 0.7043 0.5000 0.5914  7 Tb 3.17-3.19
Tb: 0.0000 0.0000 0.0000  4 Al 3.16-3.19, 2 Te 3.18
Te: 0.2957 0.5000 0.4086  7 Tb 3.17-3.19
Te: 0.7957 0.0000 0.4086  7 Tb 3.17-3.19
Tb: 0.5386 0.8312 0.2622  3 Al 3.11-3.12, 3 Te 3.17-3.19
Al: 0.6224 0.1206 0.0000  1 Al 2.74
Tb: 0.9614 0.3312 0.7378  3 Al 3.11-3.12, 3 Te 3.17-3.19
Tb: 0.8008 0.8312 0.7378  3 Al 3.11-3.12, 3 Te 3.17-3.19
Tb: 0.6992 0.3312 0.2622  3 Al 3.11-3.12, 3 Te 3.17-3.19
Tb: 0.0386 0.6688 0.2622  3 Al 3.11-3.12, 3 Te 3.17-3.19
Te: 0.2043 0.0000 0.5914  7 Tb 3.17-3.19

Record 12
This record from Alexandria via LeMat-Bulk describes a relaxed structure of PIrSe2. The functional is PBE-GGA.

Results
SG: No. 65
VASP energy in eV per atom: -5.243

Cell lengths 4.7269, 4.7269, 3.7218 Å; angles 90.00, 90.00, 117.43 degrees
Closest atoms and distances in Å follow each position.
Fractional coordinates of all 4 atoms:
Ir: 0.5000 0.5000 0.5000  2 P 2.45, 4 Se 2.51
P: 0.0000 0.0000 0.5000  2 Ir 2.45
Se: 0.2909 0.7091 0.0000  2 Ir 2.51, 2 Se 2.54
Se: 0.7091 0.2909 0.0000  2 Ir 2.51, 2 Se 2.54